A plane-wave DFT calculation with GGA-PBE was carried out for a geometry-optimized BaSiSb3 structure.

Calculated values
The density of states at the Fermi level comes out at 4.94 states/eV/f.u. For the raw total energy, the calculation gives -0.0931 Ha/atom. The calculated volume is 230.9 Å³ per cell. The calculation puts the density at 3.82 g/cm3. The crystal system is cubic.

Cell lengths 6.1348, 6.1348, 6.1348 Å; angles 90.00, 90.00, 90.00 degrees
With the nearest neighbours (Å) after each atom.
Positions (direct):
Ba1 0.0000 0.0000 0.0000  6 Sb 3.07
Si1 0.5000 0.5000 0.5000  12 Sb 4.34
Sb1 0.0000 0.0000 0.5000  2 Ba 3.07
Sb2 0.0000 0.5000 0.0000  2 Ba 3.07
Sb3 0.5000 0.0000 0.0000  2 Ba 3.07